AlHgPO: relaxed, PBE.

Cell lengths 4.245, 4.245, 8.821 Å; angles 90.00, 90.00, 90.00 degrees
Fractional positions:
Al 0.250 0.750 0.000
Al 0.750 0.250 0.000
Hg 0.250 0.250 0.415
Hg 0.750 0.750 0.585
P 0.250 0.250 0.861
P 0.750 0.750 0.139
O 0.250 0.750 0.500
O 0.750 0.250 0.500

For the density, the calculation gives 5.74 g/cm³. For the energy above the most stable polymorph in this dataset, the calculation gives 899 meV/atom. As for the space group: P4/nmm, No. 129.